# GdDy2Mg3ZnIn2 | OQMD | PBE-GGA | relaxed
# Volume   444.0 Å³ per cell
data_GdDy2Mg3ZnIn2
_cell_length_a 4.579
_cell_length_b 12.994
_cell_length_c 7.461
_cell_angle_alpha 90.00
_cell_angle_beta 90.00
_cell_angle_gamma 90.00
_symmetry_space_group_name_H-M 'A m m 2'
_symmetry_Int_Tables_number 38
_symmetry_space_group_name_Hall 'A 2 -2'
loop_
_atom_site_label
_atom_site_fract_x
_atom_site_fract_y
_atom_site_fract_z
Gd1 0.000 0.000 0.000
Dy1 0.000 0.207 0.621
Mg1 0.500 0.000 0.651
Mg2 0.500 0.118 0.297
Zn1 0.000 0.000 0.417
In1 0.500 0.167 0.914

=====

# Rb2PdI2Br2 | OQMD | PBE-GGA | relaxed
# Volume   301.0 Å³ per cell
data_Rb2PdI2Br2
_cell_length_a 4.730
_cell_length_b 7.980
_cell_length_c 7.973
_cell_angle_alpha 90.00
_cell_angle_beta 90.00
_cell_angle_gamma 90.00
_symmetry_space_group_name_H-M 'P m m 2'
_symmetry_Int_Tables_number 25
_symmetry_space_group_name_Hall 'P 2 -2'
loop_
_atom_site_label
_atom_site_fract_x
_atom_site_fract_y
_atom_site_fract_z
Rb1 0.000 0.000 0.000
Rb2 0.000 0.500 0.442
Pd1 0.500 0.000 0.469
I1 0.500 0.232 0.702
Br1 0.500 0.223 0.246

=====

# ZrGeTe3Se | OQMD | PBE-GGA | relaxed
# Distance to the lowest polymorph of the same formula   33 meV/atom
# Volume   708.9 Å³ per cell
data_ZrGeTe3Se
_cell_length_a 3.951
_cell_length_b 16.317
_cell_length_c 10.996
_cell_angle_alpha 90.00
_cell_angle_beta 90.00
_cell_angle_gamma 90.00
_symmetry_space_group_name_H-M 'C m c 21'
_symmetry_Int_Tables_number 36
_symmetry_space_group_name_Hall 'C 2c -2'
loop_
_atom_site_label
_atom_site_fract_x
_atom_site_fract_y
_atom_site_fract_z
Zr1 0.000 0.156 0.000
Ge1 0.000 0.273 0.802
Te1 0.000 0.216 0.569
Te2 0.000 0.397 0.309
Te3 0.000 0.479 0.530
Se1 0.000 0.131 0.260

=====

# PrNbN2O | OQMD | PBE-GGA | relaxed
# Volume   526.4 Å³ per cell
data_PrNbN2O
_cell_length_a 7.997
_cell_length_b 8.212
_cell_length_c 11.267
_cell_angle_alpha 90.00
_cell_angle_beta 134.65
_cell_angle_gamma 90.00
_symmetry_space_group_name_H-M 'P 1 21/c 1'
_symmetry_Int_Tables_number 14
_symmetry_space_group_name_Hall '-P 2ybc'
loop_
_atom_site_label
_atom_site_fract_x
_atom_site_fract_y
_atom_site_fract_z
Pr1 0.236 0.005 0.492
Pr2 0.248 0.505 0.502
Nb1 0.261 0.241 0.253
Nb2 0.261 0.744 0.259
N1 0.204 0.003 0.220
N2 0.226 0.503 0.245
N3 0.441 0.737 0.997
N4 0.442 0.244 0.695
O1 0.075 0.740 0.996
O2 0.078 0.244 0.831

=====

no.,total energy (eV/atom),calculated density (g cm⁻³)
1,-3.17,6.36
2,-3.01,3.81
3,-4.92,5.86
4,-9.02,7.01